! PBE+U MnIn2AgO, relaxed; values from VASP
&SYSTEM
  ibrav = 0, nat = 5, ntyp = 4
/
ATOMIC_SPECIES
O 16.00 O.upf
In 114.82 In.upf
Ag 107.87 Ag.upf
Mn 54.94 Mn.upf
ATOMIC_POSITIONS crystal
O 0.000 0.500 0.000
In 0.000 0.000 0.500
In 0.500 0.000 0.000
Ag 0.000 0.000 0.000
Mn 0.500 0.500 0.500
CELL_PARAMETERS angstrom
5.598 0.000 0.000
0.000 3.947 0.000
0.000 0.000 5.598
! **V**: 24.74 Å³/atom
! **Space group**: P4/mmm (123)
! **Electronic total energy**: -0.1387 Ha/atom